(1)
DFT (PBE-GGA) results for crystalline SrCaCe2Tl4 at its relaxed geometry.

Unit cell a=5.5781 b=5.5781 c=9.6928 alpha=73.28 beta=73.28 gamma=60.00
Last column: nearest neighbours and their distance in Å.
Fractional positions:
Ca 0.5000 0.5000 0.5000  8 Tl 3.38-3.41
Tl 0.8737 0.8737 0.3789  4 Ce 3.34-3.41, 3 Ca 3.41, 1 Sr 3.46
Tl 0.1263 0.1263 0.6211  4 Ce 3.34-3.41, 3 Ca 3.41, 1 Sr 3.46
Sr 0.0000 0.0000 0.0000  8 Tl 3.43-3.46
Ce 0.7518 0.7518 0.7445  8 Tl 3.34-3.53
Tl 0.6232 0.6232 0.1305  1 Ca 3.38, 4 Ce 3.42-3.53, 3 Sr 3.43
Tl 0.3768 0.3768 0.8695  1 Ca 3.38, 4 Ce 3.42-3.53, 3 Sr 3.43
Ce 0.2482 0.2482 0.2555  8 Tl 3.34-3.53

## Properties
**Energy of formation from the pure elements**: -0.299 eV per atom
**Total moment**: 2.11 μB per cell



(2)
DFT (PBE-GGA) results for crystalline Ti2AlAu2 at its relaxed geometry.

Unit cell a=3.5580 b=3.5580 c=7.5824 alpha=76.43 beta=76.43 gamma=90.00
Last column: nearest neighbours and their distance in Å.
Fractional positions:
Ti 0.2500 0.7500 0.5000  4 Ti 2.52
Al 0.0000 0.0000 0.0000  8 Au 2.87
Au 0.5964 0.5964 0.8071  1 Au 2.76, 4 Ti 2.83, 4 Al 2.87
Ti 0.7500 0.2500 0.5000  4 Ti 2.52
Au 0.4036 0.4036 0.1929  1 Au 2.76, 4 Ti 2.83, 4 Al 2.87

## Properties
**Offset from the most stable computed form**: 0.317 eV/atom
**Energy of formation from the pure elements**: -0.004 eV per atom
**Total moment**: 0.00 μB per cell



(3)
DFT (PBE-GGA) results for crystalline TaZnCo2Mo at its relaxed geometry.

Unit cell a=4.4392 b=4.8093 c=4.4392 alpha=90.00 beta=90.00 gamma=90.00
Last column: nearest neighbours and their distance in Å.
Fractional positions:
Zn 0.5000 0.5000 0.5000  4 Ta 3.14, 8 Co 3.27
Ta 0.0000 0.5000 0.0000  2 Mo 2.40
Mo 0.0000 0.0000 0.0000  4 Co 2.22, 2 Ta 2.40
Co 0.0000 0.0000 0.5000  2 Mo 2.22
Co 0.5000 0.0000 0.0000  2 Mo 2.22

## Properties
**Energy of formation from the pure elements**: 1.471 eV per atom
**Total moment**: 1.79 μB per cell



(4)
DFT (PBE-GGA) results for crystalline PrYCuPd at its relaxed geometry.

Unit cell a=5.0600 b=5.0600 c=5.0600 alpha=60.00 beta=60.00 gamma=60.00
Last column: nearest neighbours and their distance in Å.
Fractional positions:
Pd 0.5000 0.5000 0.5000  4 Y 3.10, 4 Pr 3.10
Cu 0.0000 0.0000 0.0000  4 Pr 3.10, 4 Y 3.10
Y 0.7500 0.7500 0.7500  4 Cu 3.10, 4 Pd 3.10
Pr 0.2500 0.2500 0.2500  4 Pd 3.10, 4 Cu 3.10

## Properties
**Offset from the most stable computed form**: 0.041 eV/atom
**Energy of formation from the pure elements**: -0.480 eV per atom
**Total moment**: 0.00 μB per cell



Please write out number 1 again, unchanged.
DFT (PBE-GGA) results for crystalline SrCaCe2Tl4 at its relaxed geometry.

Unit cell a=5.5781 b=5.5781 c=9.6928 alpha=73.28 beta=73.28 gamma=60.00
Last column: nearest neighbours and their distance in Å.
Fractional positions:
Ca 0.5000 0.5000 0.5000  8 Tl 3.38-3.41
Tl 0.8737 0.8737 0.3789  4 Ce 3.34-3.41, 3 Ca 3.41, 1 Sr 3.46
Tl 0.1263 0.1263 0.6211  4 Ce 3.34-3.41, 3 Ca 3.41, 1 Sr 3.46
Sr 0.0000 0.0000 0.0000  8 Tl 3.43-3.46
Ce 0.7518 0.7518 0.7445  8 Tl 3.34-3.53
Tl 0.6232 0.6232 0.1305  1 Ca 3.38, 4 Ce 3.42-3.53, 3 Sr 3.43
Tl 0.3768 0.3768 0.8695  1 Ca 3.38, 4 Ce 3.42-3.53, 3 Sr 3.43
Ce 0.2482 0.2482 0.2555  8 Tl 3.34-3.53

## Properties
**Energy of formation from the pure elements**: -0.299 eV per atom
**Total moment**: 2.11 μB per cell



Question: The highest energy of formation from the pure elements belongs to which entry?
Answer: TaZnCo2Mo



Question: Look up the energy of formation from the pure elements of the second one.
Answer: -0.004 eV per atom